# PBE+U MgMnAl2F, relaxed
data_MgMnAl2F
_chemical_formula_sum 'Mg1 Mn1 Al2 F1'
_cell_length_a 4.8680
_cell_length_b 3.8458
_cell_length_c 4.8680
_cell_angle_alpha 90.00
_cell_angle_beta 90.00
_cell_angle_gamma 90.00
_space_group_name_H-M_alt 'P 1'
_space_group_IT_number 1
loop_
_space_group_symop_operation_xyz
'x,y,z'
loop_
_atom_site_label
_atom_site_fract_x
_atom_site_fract_y
_atom_site_fract_z
Mg1 0.0000 0.5000 0.0000
Al1 0.5000 0.0000 0.0000
Al2 0.0000 0.0000 0.5000
Mn1 0.5000 0.5000 0.5000
F1 0.0000 0.0000 0.0000
# Space-group type: No. 123
# Uncorrected energy (eV/cell): -20.027